Model A:
Density functional theory data (PBE) for a geometry-optimized ScBeFeGe structure.

Lattice parameters (Å, degrees): 4.198 4.198 4.198 60.00 60.00 60.00
Element x y z (fractional)
Fe (0.750, 0.750, 0.750)
Be (0.250, 0.250, 0.250)
Ge (0.000, 0.000, 0.000)
Sc (0.500, 0.500, 0.500)

Values from the calculation:
Symmetry: F-43m (216)
M_tot in Bohr magnetons per cell: 0.9

---

Model B:
Density functional theory data (PBE) for a geometry-optimized ScBeFeGe structure.

Lattice parameters (Å, degrees): 4.300 4.300 4.300 60.00 60.00 60.00
Element x y z (fractional)
Fe (0.750, 0.750, 0.750)
Be (0.500, 0.500, 0.500)
Sc (0.000, 0.000, 0.000)
Ge (0.250, 0.250, 0.250)

Values from the calculation:
Symmetry: F-43m (216)
M_tot in Bohr magnetons per cell: 1.6

---

Model C:
Density functional theory data (PBE) for a geometry-optimized ScBeFeGe structure.

Lattice parameters (Å, degrees): 4.204 4.204 4.204 60.00 60.00 60.00
Element x y z (fractional)
Be (0.500, 0.500, 0.500)
Sc (0.250, 0.250, 0.250)
Ge (0.000, 0.000, 0.000)
Fe (0.750, 0.750, 0.750)

Values from the calculation:
Symmetry: F-43m (216)
M_tot in Bohr magnetons per cell: 0.0

---

Relative calculated energies, zero for the most stable structure, unit meV per atom: model A 72; model B 204; model C 0.